# Li3ScOs (SCAN, PBEsol geometry)
data_Li3ScOs
_chemical_formula_sum 'Li3 Sc1 Os1'
_space_group_name_H-M_alt 'P 1'
_space_group_IT_number 1
_cell_length_a 4.1771
_cell_length_b 4.1771
_cell_length_c 4.1771
_cell_angle_alpha 90.00
_cell_angle_beta 90.00
_cell_angle_gamma 90.00
loop_
_space_group_symop_operation_xyz
'x,y,z'
loop_
_atom_site_label
_atom_site_type_symbol
_atom_site_fract_x
_atom_site_fract_y
_atom_site_fract_z
Li1 Li 0.0000 0.0000 0.5000
Li2 Li 0.0000 0.5000 0.0000
Li3 Li 0.5000 0.0000 0.0000
Sc1 Sc 0.0000 0.0000 0.0000
Os1 Os 0.5000 0.5000 0.5000
# Crystal system: cubic
# Formation energy: 1.66 eV/atom

# Li2ScOs (SCAN, PBEsol geometry)
data_Li2ScOs
_chemical_formula_sum 'Li2 Sc1 Os1'
_space_group_name_H-M_alt 'P 1'
_space_group_IT_number 1
_cell_length_a 4.4236
_cell_length_b 4.4236
_cell_length_c 4.4236
_cell_angle_alpha 60.00
_cell_angle_beta 60.00
_cell_angle_gamma 60.00
loop_
_space_group_symop_operation_xyz
'x,y,z'
loop_
_atom_site_label
_atom_site_type_symbol
_atom_site_fract_x
_atom_site_fract_y
_atom_site_fract_z
Li1 Li 0.0000 0.0000 0.0000
Li2 Li 0.2500 0.2500 0.2500
Sc1 Sc 0.7500 0.7500 0.7500
Os1 Os 0.5000 0.5000 0.5000
# Crystal system: cubic
# Formation energy: 0.09 eV/atom

# Li2ScTlOs (SCAN, PBEsol geometry)
data_Li2ScTlOs
_chemical_formula_sum 'Li2 Sc1 Tl1 Os1'
_space_group_name_H-M_alt 'P 1'
_space_group_IT_number 1
_cell_length_a 4.5496
_cell_length_b 4.5496
_cell_length_c 5.1085
_cell_angle_alpha 90.00
_cell_angle_beta 90.00
_cell_angle_gamma 90.00
loop_
_space_group_symop_operation_xyz
'x,y,z'
loop_
_atom_site_label
_atom_site_type_symbol
_atom_site_fract_x
_atom_site_fract_y
_atom_site_fract_z
Li1 Li 0.0000 0.5000 0.0000
Li2 Li 0.5000 0.0000 0.0000
Sc1 Sc 0.0000 0.0000 0.5000
Tl1 Tl 0.5000 0.5000 0.5000
Os1 Os 0.5000 0.5000 0.0000
# Crystal system: tetragonal
# Formation energy: 0.64 eV/atom

# LiOsSe (SCAN, PBEsol geometry)
data_LiOsSe
_chemical_formula_sum 'Li1 Os1 Se1'
_space_group_name_H-M_alt 'P 1'
_space_group_IT_number 1
_cell_length_a 4.1067
_cell_length_b 4.1067
_cell_length_c 3.0963
_cell_angle_alpha 90.00
_cell_angle_beta 90.00
_cell_angle_gamma 120.00
loop_
_space_group_symop_operation_xyz
'x,y,z'
loop_
_atom_site_label
_atom_site_type_symbol
_atom_site_fract_x
_atom_site_fract_y
_atom_site_fract_z
Li1 Li 0.0000 0.0000 0.0000
Os1 Os 0.6667 0.3333 0.5000
Se1 Se 0.3333 0.6667 0.5000
# Polymorph energy (0 for the lowest one): 0.000 eV per atom
# Energy relative to the elements, uncorrected: 0.165 eV per atom
# Crystal system: hexagonal

Please write out number 2 again, unchanged.
# Li2ScOs (SCAN, PBEsol geometry)
data_Li2ScOs
_chemical_formula_sum 'Li2 Sc1 Os1'
_space_group_name_H-M_alt 'P 1'
_space_group_IT_number 1
_cell_length_a 4.4236
_cell_length_b 4.4236
_cell_length_c 4.4236
_cell_angle_alpha 60.00
_cell_angle_beta 60.00
_cell_angle_gamma 60.00
loop_
_space_group_symop_operation_xyz
'x,y,z'
loop_
_atom_site_label
_atom_site_type_symbol
_atom_site_fract_x
_atom_site_fract_y
_atom_site_fract_z
Li1 Li 0.0000 0.0000 0.0000
Li2 Li 0.2500 0.2500 0.2500
Sc1 Sc 0.7500 0.7500 0.7500
Os1 Os 0.5000 0.5000 0.5000
# Crystal system: cubic
# Formation energy: 0.09 eV/atom